*a*
Material: CdFePbSe3
Method: DFT, PBE
State: optimized geometry

Cell and atoms, written as POSCAR:
```
CdFePbSe3
1.0
6.703 -2.021 0.000
6.703 2.021 0.000
0.000 0.000 10.760
Cd Pb Fe Se
2 2 2 6
Direct
0.000 0.000 0.000
0.000 0.000 0.500
0.245 0.245 0.750
0.755 0.755 0.250
0.464 0.464 0.250
0.536 0.536 0.750
0.360 0.360 0.066
0.074 0.074 0.250
0.640 0.640 0.566
0.640 0.640 0.934
0.360 0.360 0.434
0.926 0.926 0.750
```

Output
Total magnetic moment in μB per cell: 8.00
Volume in Å³/atom: 24.30

***

*b*
Material: CdFePbSe3
Method: DFT, PBE
State: optimized geometry

Cell and atoms, written as POSCAR:
```
CdFePbSe3
1.0
7.326 -1.826 0.000
7.326 1.826 0.000
0.000 0.000 10.465
Pb Se Fe Cd
2 6 2 2
Direct
0.683 0.683 0.250
0.317 0.317 0.750
0.016 0.016 0.250
0.606 0.606 0.503
0.984 0.984 0.750
0.606 0.606 0.997
0.394 0.394 0.003
0.394 0.394 0.497
0.000 0.000 0.000
0.000 0.000 0.500
0.357 0.357 0.250
0.643 0.643 0.750
```

Output
Total magnetic moment in μB per cell: 3.19
Volume in Å³/atom: 23.33

***

Which structure is most stable, and how do the rest compare? From most to least stable: *a*, *b*.

***

*a*
Material: CdFeSnS3
Method: DFT, PBE
State: optimized geometry

Cell and atoms, written as POSCAR:
```
CdFeSnS3
1.0
0.964 1.151 6.508
-2.805 0.666 6.024
1.094 -10.137 1.630
Cd Fe S Sn
2 2 6 2
Direct
0.000 0.000 0.500
0.000 0.000 0.000
0.468 0.468 0.250
0.532 0.532 0.750
0.640 0.640 0.927
0.925 0.925 0.750
0.360 0.360 0.073
0.640 0.640 0.573
0.360 0.360 0.427
0.075 0.075 0.250
0.242 0.242 0.750
0.758 0.758 0.250
```

Output
Total magnetic moment in μB per cell: 7.99
Volume in Å³/atom: 21.09

***

*b*
Material: CdFeSnS3
Method: DFT, PBE
State: optimized geometry

Cell and atoms, written as POSCAR:
```
CdFeSnS3
1.0
7.873 -1.763 0.000
7.873 1.763 0.000
0.000 0.000 8.928
Fe S Cd Sn
2 6 2 2
Direct
0.000 0.000 0.000
0.000 0.000 0.500
0.034 0.034 0.250
0.966 0.966 0.750
0.406 0.406 0.026
0.594 0.594 0.526
0.594 0.594 0.974
0.406 0.406 0.474
0.307 0.307 0.250
0.693 0.693 0.750
0.655 0.655 0.250
0.345 0.345 0.750
```

Output
Total magnetic moment in μB per cell: 0.96
Volume in Å³/atom: 20.65

***

Which structure is most stable, and how do the rest compare? From most to least stable: *b*, *a*.

***

*a*
Material: YCdFeSb
Method: DFT, PBE
State: optimized geometry

Cell and atoms, written as POSCAR:
```
YCdFeSb
1.0
0.000 3.499 3.499
3.499 0.000 3.499
3.499 3.499 0.000
Fe Cd Sb Y
1 1 1 1
Direct
0.750 0.750 0.750
0.250 0.250 0.250
0.000 0.000 0.000
0.500 0.500 0.500
```

Output
Total magnetic moment in μB per cell: 1.91
Volume in Å³/atom: 21.42

***

*b*
Material: YCdFeSb
Method: DFT, PBE
State: optimized geometry

Cell and atoms, written as POSCAR:
```
YCdFeSb
1.0
0.000 3.502 3.502
3.502 0.000 3.502
3.502 3.502 0.000
Y Fe Sb Cd
1 1 1 1
Direct
0.250 0.250 0.250
0.750 0.750 0.750
0.000 0.000 0.000
0.500 0.500 0.500
```

Output
Total magnetic moment in μB per cell: 2.04
Volume in Å³/atom: 21.48

***

Which structure is most stable, and how do the rest compare? From most to least stable: *b*, *a*.

***

*a*
Material: ZrCdFeSb
Method: DFT, PBE
State: optimized geometry

Cell and atoms, written as POSCAR:
```
ZrCdFeSb
1.0
-4.444 -1.707 0.409
-2.691 1.217 3.756
-3.742 2.913 -0.585
Zr Fe Sb Cd
1 1 1 1
Direct
0.250 0.250 0.250
0.750 0.750 0.750
0.000 0.000 0.000
0.500 0.500 0.500
```

Output
Total magnetic moment in μB per cell: 1.65
Volume in Å³/atom: 19.28

***

*b*
Material: ZrCdFeSb
Method: DFT, PBE
State: optimized geometry

Cell and atoms, written as POSCAR:
```
ZrCdFeSb
1.0
0.000 3.372 3.372
3.372 0.000 3.372
3.372 3.372 0.000
Cd Sb Fe Zr
1 1 1 1
Direct
0.250 0.250 0.250
0.000 0.000 0.000
0.750 0.750 0.750
0.500 0.500 0.500
```

Output
Total magnetic moment in μB per cell: 0.92
Volume in Å³/atom: 19.17

***

Which structure is most stable, and how do the rest compare? From most to least stable: *a*, *b*.